(1)
Below is Na2TaTl3Se6 after structural relaxation, with properties calculated at the PBE-GGA level.

Output
As for the space group: No. 12. Its formation energy (no corrections) is -629 meV per atom. For the total DFT energy (no corrections), the calculation gives -4.170 eV/atom. The total moment comes out at 0.00 μB/atom.

Cell lengths 7.409, 7.409, 7.345 Å; angles 99.93, 99.93, 120.38 degrees
Positions (direct):
Na (0.168, 0.832, 0.000)
Na (0.832, 0.168, 0.000)
Ta (0.500, 0.500, 0.000)
Tl (0.000, 0.000, 0.500)
Tl (0.341, 0.659, 0.500)
Tl (0.659, 0.341, 0.500)
Se (0.138, 0.427, 0.785)
Se (0.277, 0.277, 0.211)
Se (0.427, 0.138, 0.785)
Se (0.573, 0.862, 0.215)
Se (0.723, 0.723, 0.789)
Se (0.862, 0.573, 0.215)

***

(2)
Below is ThGa2Ir2Pd after structural relaxation, with properties calculated at the PBE-GGA level.

Output
The formation enthalpy at 0 K comes out at -0.187 eV per atom. As for the space group: No. 123. For the total DFT energy (no corrections), the calculation gives -6.252 eV/atom. The total moment comes out at 0.00 μB/atom.

Cell lengths 4.587, 4.587, 5.617 Å; angles 90.00, 90.00, 90.00 degrees
Positions (direct):
Th (0.000, 0.000, 0.000)
Ga (0.000, 0.500, 0.500)
Ga (0.500, 0.000, 0.500)
Ir (0.500, 0.500, 0.226)
Ir (0.500, 0.500, 0.774)
Pd (0.000, 0.000, 0.500)

***

(3)
Below is Pr3HfTl4Te8 after structural relaxation, with properties calculated at the PBE-GGA level.

Output
As for the space group: No. 166. Its formation energy (no corrections) is -925 meV per atom. For the total DFT energy (no corrections), the calculation gives -4.606 eV/atom. The total moment comes out at 0.00 μB/atom.

Cell lengths 9.711, 9.711, 9.711 Å; angles 54.88, 54.88, 54.88 degrees
Positions (direct):
Pr (0.000, 0.500, 0.500)
Pr (0.500, 0.000, 0.500)
Pr (0.500, 0.500, 0.000)
Hf (0.000, 0.000, 0.000)
Tl (0.000, 0.000, 0.500)
Tl (0.000, 0.500, 0.000)
Tl (0.500, 0.000, 0.000)
Tl (0.500, 0.500, 0.500)
Te (0.225, 0.225, 0.764)
Te (0.225, 0.764, 0.225)
Te (0.236, 0.775, 0.775)
Te (0.257, 0.257, 0.257)
Te (0.743, 0.743, 0.743)
Te (0.764, 0.225, 0.225)
Te (0.775, 0.236, 0.775)
Te (0.775, 0.775, 0.236)

***

(4)
Below is CsPmPdCl6 after structural relaxation, with properties calculated at the PBE-GGA level.

Output
As for the space group: No. 149. Its formation energy (no corrections) is -1572 meV per atom. For the total DFT energy (no corrections), the calculation gives -4.003 eV/atom. The total moment comes out at 0.22 μB/atom.

Cell lengths 6.869, 6.869, 7.890 Å; angles 90.00, 90.00, 120.00 degrees
Positions (direct):
Cs (0.000, 0.000, 0.000)
Pm (0.333, 0.667, 0.500)
Pd (0.667, 0.333, 0.500)
Cl (0.381, 0.019, 0.307)
Cl (0.381, 0.362, 0.693)
Cl (0.638, 0.019, 0.693)
Cl (0.638, 0.619, 0.307)
Cl (0.981, 0.362, 0.307)
Cl (0.981, 0.619, 0.693)

***

(5)
Below is Ce4ErPu3Se8 after structural relaxation, with properties calculated at the PBE-GGA level.

Output
As for the space group: No. 166. Its formation energy (no corrections) is -1699 meV per atom. For the total DFT energy (no corrections), the calculation gives -7.897 eV/atom. The total moment comes out at 1.20 μB/atom.

Cell lengths 8.348, 8.348, 8.348 Å; angles 59.57, 59.57, 59.57 degrees
Positions (direct):
Ce (0.000, 0.000, 0.000)
Ce (0.000, 0.500, 0.500)
Ce (0.500, 0.000, 0.500)
Ce (0.500, 0.500, 0.000)
Er (0.500, 0.500, 0.500)
Pu (0.000, 0.000, 0.500)
Pu (0.000, 0.500, 0.000)
Pu (0.500, 0.000, 0.000)
Se (0.248, 0.248, 0.248)
Se (0.251, 0.745, 0.745)
Se (0.255, 0.255, 0.749)
Se (0.255, 0.749, 0.255)
Se (0.745, 0.251, 0.745)
Se (0.745, 0.745, 0.251)
Se (0.749, 0.255, 0.255)
Se (0.752, 0.752, 0.752)

***

(6)
Below is Nd6CuRh5 after structural relaxation, with properties calculated at the PBE-GGA level.

Output
The formation enthalpy at 0 K comes out at -0.574 eV per atom. As for the space group: No. 10. For the total DFT energy (no corrections), the calculation gives -6.362 eV/atom. The total moment comes out at 0.00 μB/atom.

Cell lengths 5.004, 7.167, 7.908 Å; angles 90.00, 108.22, 90.00 degrees
Positions (direct):
Nd (0.000, 0.245, 0.000)
Nd (0.000, 0.755, 0.000)
Nd (0.331, 0.249, 0.664)
Nd (0.331, 0.751, 0.664)
Nd (0.669, 0.249, 0.336)
Nd (0.669, 0.751, 0.336)
Cu (0.500, 0.500, 0.000)
Rh (0.165, 0.500, 0.328)
Rh (0.170, 0.000, 0.338)
Rh (0.500, 0.000, 0.000)
Rh (0.830, 0.000, 0.662)
Rh (0.835, 0.500, 0.672)